Al2TeBr, PBEsol geometry, DFT SCAN; total magnetic moment = 0.06 μB per formula unit; SG = F-43m, No. 216; calculated total energy = -17.7111 eV per atom
1.0
7.149 0.000 0.000
0.000 7.149 0.000
0.000 0.000 7.149
Al Te Br
8 4 4
Cartesian
0.000 0.000 0.000
0.000 3.574 3.574
1.787 1.787 1.787
1.787 5.361 5.361
3.574 0.000 3.574
3.574 3.574 0.000
5.361 1.787 5.361
5.361 5.361 1.787
1.787 1.787 5.361
1.787 5.361 1.787
5.361 1.787 1.787
5.361 5.361 5.361
0.000 0.000 3.574
0.000 3.574 0.000
3.574 0.000 0.000
3.574 3.574 3.574

***

KCuIr2, PBEsol geometry, DFT SCAN; total magnetic moment = 0.01 μB per formula unit; DFT formation energy = 4.46 eV per formula unit; SG = F-43m, No. 216
1.0
6.342 0.000 0.000
0.000 6.342 0.000
0.000 0.000 6.342
K Cu Ir
4 4 8
Cartesian
0.000 0.000 0.000
0.000 3.171 3.171
3.171 0.000 3.171
3.171 3.171 0.000
1.586 1.586 4.757
1.586 4.757 1.586
4.757 1.586 1.586
4.757 4.757 4.757
0.000 0.000 3.171
0.000 3.171 0.000
1.586 1.586 1.586
1.586 4.757 4.757
3.171 0.000 0.000
3.171 3.171 3.171
4.757 1.586 4.757
4.757 4.757 1.586

***

MnAl2Fe, PBEsol geometry, DFT SCAN; total magnetic moment = 4.48 μB per formula unit; DFT formation energy = -1.11 eV per formula unit; SG = Imm2, No. 44
1.0
2.804 0.000 0.000
0.000 4.027 0.000
0.000 0.000 8.383
Mn Al Fe
2 4 2
Cartesian
0.000 0.000 0.000
1.402 2.013 4.192
0.000 0.000 4.435
0.000 2.013 6.303
1.402 0.000 2.111
1.402 2.013 0.244
0.000 2.013 2.298
1.402 0.000 6.489

***

LiIn2Hg, PBEsol geometry, DFT SCAN; total magnetic moment = 0.00 μB per formula unit; DFT formation energy = -0.64 eV per formula unit; SG = Pmmm, No. 47
1.0
3.380 0.000 0.000
0.000 4.298 0.000
0.000 0.000 5.996
Li In Hg
1 2 1
Cartesian
0.000 0.000 0.000
1.690 2.149 1.472
1.690 2.149 4.524
0.000 0.000 2.998

***

Ba2CuHg, PBEsol geometry, DFT SCAN; total magnetic moment = 0.00 μB per formula unit; DFT formation energy = -1.00 eV per formula unit; SG = P4/mmm, No. 123
1.0
3.971 0.000 0.000
0.000 3.971 0.000
0.000 0.000 8.059
Ba Cu Hg
2 1 1
Cartesian
0.000 0.000 1.906
0.000 0.000 6.154
1.986 1.986 0.000
1.986 1.986 4.030

***

ReAgOs, PBEsol geometry, DFT SCAN; total magnetic moment = 0.00 μB per formula unit; DFT formation energy = 3.24 eV per formula unit; SG = F-43m, No. 216
1.0
5.952 0.000 0.000
0.000 5.952 0.000
0.000 0.000 5.952
Re Ag Os
4 4 4
Cartesian
0.000 0.000 0.000
0.000 2.976 2.976
2.976 0.000 2.976
2.976 2.976 0.000
1.488 1.488 1.488
1.488 4.464 4.464
4.464 1.488 4.464
4.464 4.464 1.488
1.488 1.488 4.464
1.488 4.464 1.488
4.464 1.488 1.488
4.464 4.464 4.464

***

In2Ga2Ge, PBEsol geometry, DFT SCAN; total magnetic moment = 0.00 μB per formula unit; DFT formation energy = 1.51 eV per formula unit; SG = I4/mmm, No. 139
1.0
4.390 0.000 0.000
0.000 4.390 0.000
0.000 0.000 11.648
In Ga Ge
4 4 2
Cartesian
0.000 2.195 2.912
0.000 2.195 8.736
2.195 0.000 2.912
2.195 0.000 8.736
0.000 0.000 1.179
0.000 0.000 10.469
2.195 2.195 4.645
2.195 2.195 7.003
0.000 0.000 5.824
2.195 2.195 0.000

***

HfMg2ScMo, PBEsol geometry, DFT SCAN; total magnetic moment = 1.58 μB per formula unit; DFT formation energy = 5.81 eV per formula unit; SG = P4/mmm, No. 123
1.0
5.263 0.000 0.000
0.000 5.263 0.000
0.000 0.000 4.620
Hf Mg Sc Mo
1 2 1 1
Cartesian
0.000 0.000 0.000
0.000 2.631 0.000
2.631 0.000 0.000
2.631 2.631 2.310
0.000 0.000 2.310

***

Repeat the first record exactly.
Al2TeBr, PBEsol geometry, DFT SCAN; total magnetic moment = 0.06 μB per formula unit; SG = F-43m, No. 216; calculated total energy = -17.7111 eV per atom
1.0
7.149 0.000 0.000
0.000 7.149 0.000
0.000 0.000 7.149
Al Te Br
8 4 4
Cartesian
0.000 0.000 0.000
0.000 3.574 3.574
1.787 1.787 1.787
1.787 5.361 5.361
3.574 0.000 3.574
3.574 3.574 0.000
5.361 1.787 5.361
5.361 5.361 1.787
1.787 1.787 5.361
1.787 5.361 1.787
5.361 1.787 1.787
5.361 5.361 5.361
0.000 0.000 3.574
0.000 3.574 0.000
3.574 0.000 0.000
3.574 3.574 3.574

***

Q: total magnetic moment of number 3 (MnAl2Fe)?
A: 4.48 μB per formula unit

***

Q: Which formula does entry 3 have?
A: MnAl2Fe